[1]
Computed, not measured: an optimized crystal structure of MgCu4Pd at the GGA-PBE level of DFT.

Calculated values
Energy of formation from the pure elements (kJ per mole of atoms): -18.50
Theoretical density (g/cm³): 7.80
Space group: F-43m (216)

Geometry as CIF:
```
data_MgCu4Pd
_chemical_formula_sum 'Mg1 Cu4 Pd1'
_symmetry_space_group_name_H-M 'P 1'
_symmetry_Int_Tables_number 1
_symmetry_space_group_name_Hall 'P 1'
_cell_length_a 4.8759
_cell_length_b 4.8759
_cell_length_c 4.8759
_cell_angle_alpha 60.00
_cell_angle_beta 60.00
_cell_angle_gamma 60.00
loop_
_atom_site_label
_atom_site_type_symbol
_atom_site_fract_x
_atom_site_fract_y
_atom_site_fract_z
Mg1 Mg 0.0000 0.0000 0.0000
Cu1 Cu 0.3752 0.3752 0.3752
Cu2 Cu 0.3752 0.3752 0.8745
Cu3 Cu 0.3752 0.8745 0.3752
Cu4 Cu 0.8745 0.3752 0.3752
Pd1 Pd 0.7500 0.7500 0.7500
```

***

[2]
Computed, not measured: an optimized crystal structure of PmScCd4 at the GGA-PBE level of DFT.

Calculated values
Energy of formation from the pure elements (kJ per mole of atoms): -26.63
Theoretical density (g/cm³): 7.45
Space group: P2/m (10)
Distance to the lowest polymorph of the same formula (meV/atom): 2

Geometry as CIF:
```
data_PmScCd4
_chemical_formula_sum 'Pm1 Sc1 Cd4'
_symmetry_space_group_name_H-M 'P 1'
_symmetry_Int_Tables_number 1
_symmetry_space_group_name_Hall 'P 1'
_cell_length_a 3.2984
_cell_length_b 4.9772
_cell_length_c 8.6804
_cell_angle_alpha 90.00
_cell_angle_beta 90.14
_cell_angle_gamma 90.00
loop_
_atom_site_label
_atom_site_type_symbol
_atom_site_fract_x
_atom_site_fract_y
_atom_site_fract_z
Pm1 Pm 0.0000 0.0000 0.0000
Sc1 Sc 0.0000 0.5000 0.5000
Cd1 Cd 0.4982 0.0000 0.6594
Cd2 Cd 0.4990 0.5000 0.8236
Cd3 Cd 0.5010 0.5000 0.1764
Cd4 Cd 0.5018 0.0000 0.3406
```